Crystalline Zn7CdAu4 at its relaxed geometry. Source: the Alexandria database, functional GGA-PBE.

Values from the calculation:
M_tot   0.000 μB per formula unit
E_tot   -1.9478 eV per atom

```
data_Zn7CdAu4
_chemical_formula_sum 'Zn14 Cd2 Au8'
_cell_length_a 11.699
_cell_length_b 4.868
_cell_length_c 9.551
_cell_angle_alpha 90.00
_cell_angle_beta 125.76
_cell_angle_gamma 90.00
_space_group_name_H-M_alt 'C 1 2/m 1'
_space_group_IT_number 12
loop_
_space_group_symop_operation_xyz
'x,y,z'
'-x,-y,-z'
'-x,y,-z'
'x,-y,z'
'x+1/2,y+1/2,z'
'-x+1/2,-y+1/2,-z'
'-x+1/2,y+1/2,-z'
'x+1/2,-y+1/2,z'
loop_
_atom_site_label
_atom_site_type_symbol
_atom_site_fract_x
_atom_site_fract_y
_atom_site_fract_z
_atom_site_occupancy
Zn1 Zn 0.000 0.000 0.000 1
Zn2 Zn 0.061 0.500 0.344 1
Zn3 Zn 0.146 0.000 0.563 1
Zn4 Zn 0.215 0.500 0.883 1
Cd1 Cd 0.000 0.500 0.000 1
Au1 Au 0.082 0.000 0.782 1
Au2 Au 0.219 0.000 0.338 1
```

***

Crystalline Li4Sb2I9 at its relaxed geometry. Source: the Alexandria database, functional GGA-PBE.

Values from the calculation:
M_tot   1.001 μB per formula unit
Energy relative to the elements, uncorrected   -0.70 eV per atom
E_tot   -2.6897 eV per atom

```
data_Li4Sb2I9
_chemical_formula_sum 'Li8 Sb4 I18'
_cell_length_a 7.589
_cell_length_b 7.665
_cell_length_c 22.381
_cell_angle_alpha 92.27
_cell_angle_beta 97.87
_cell_angle_gamma 117.45
_space_group_name_H-M_alt 'P -1'
_space_group_IT_number 2
loop_
_space_group_symop_operation_xyz
'x,y,z'
'-x,-y,-z'
loop_
_atom_site_label
_atom_site_type_symbol
_atom_site_fract_x
_atom_site_fract_y
_atom_site_fract_z
_atom_site_occupancy
Li1 Li 0.028 0.336 0.054 1
Li2 Li 0.103 0.278 0.354 1
Li3 Li 0.137 0.377 0.507 1
Li4 Li 0.228 0.299 0.840 1
Sb1 Sb 0.455 0.069 0.160 1
Sb2 Sb 0.487 0.022 0.347 1
I1 I 0.047 0.704 0.077 1
I2 I 0.109 0.605 0.414 1
I3 I 0.148 0.053 0.251 1
I4 I 0.172 0.005 0.580 1
I5 I 0.204 0.603 0.764 1
I6 I 0.293 0.004 0.916 1
I7 I 0.413 0.367 0.083 1
I8 I 0.463 0.321 0.428 1
I9 I 0.490 0.756 0.237 1
```

***

Crystalline GaHgSe2 at its relaxed geometry. Source: the Alexandria database, functional GGA-PBE.

Values from the calculation:
M_tot   0.000 μB per formula unit
Energy relative to the elements, uncorrected   -0.35 eV per atom
E_tot   -2.9264 eV per atom

```
data_GaHgSe2
_chemical_formula_sum 'Ga4 Hg4 Se8'
_cell_length_a 8.169
_cell_length_b 8.188
_cell_length_c 6.287
_cell_angle_alpha 90.00
_cell_angle_beta 90.00
_cell_angle_gamma 90.00
_space_group_name_H-M_alt 'I b a m'
_space_group_IT_number 72
_space_group_name_Hall '-I 2 2c'
loop_
_atom_site_label
_atom_site_type_symbol
_atom_site_fract_x
_atom_site_fract_y
_atom_site_fract_z
_atom_site_occupancy
Ga1 Ga 0.000 0.000 0.250 1
Hg1 Hg 0.000 0.500 0.000 1
Se1 Se 0.163 0.163 0.000 1
```

***

Crystalline PuMnV at its relaxed geometry. Source: the Alexandria database, functional GGA-PBE.

Values from the calculation:
M_tot   3.566 μB per formula unit
Polymorph energy (0 for the lowest one)   28.1 meV/atom
E_tot   -10.6885 eV per atom

```
data_PuMnV
_chemical_formula_sum 'Pu2 Mn2 V2'
_cell_length_a 2.918
_cell_length_b 2.918
_cell_length_c 11.026
_cell_angle_alpha 90.00
_cell_angle_beta 90.00
_cell_angle_gamma 90.00
_space_group_name_H-M_alt 'I 4 m m'
_space_group_IT_number 107
_space_group_name_Hall 'I 4 -2'
loop_
_atom_site_label
_atom_site_type_symbol
_atom_site_fract_x
_atom_site_fract_y
_atom_site_fract_z
_atom_site_occupancy
Pu1 Pu 0.000 0.000 0.000 1
Mn1 Mn 0.000 0.000 0.684 1
V1 V 0.000 0.000 0.299 1
```

***

Crystalline Cs2Pt3Pb2 at its relaxed geometry. Source: the Alexandria database, functional GGA-PBE.

Values from the calculation:
M_tot   0.000 μB per formula unit
E_tot   -4.1421 eV per atom

```
data_Cs2Pt3Pb2
_chemical_formula_sum 'Cs4 Pt6 Pb4'
_cell_length_a 13.828
_cell_length_b 4.409
_cell_length_c 9.580
_cell_angle_alpha 90.00
_cell_angle_beta 128.43
_cell_angle_gamma 90.00
_space_group_name_H-M_alt 'C 1 2/m 1'
_space_group_IT_number 12
loop_
_space_group_symop_operation_xyz
'x,y,z'
'-x,-y,-z'
'-x,y,-z'
'x,-y,z'
'x+1/2,y+1/2,z'
'-x+1/2,-y+1/2,-z'
'-x+1/2,y+1/2,-z'
'x+1/2,-y+1/2,z'
loop_
_atom_site_label
_atom_site_type_symbol
_atom_site_fract_x
_atom_site_fract_y
_atom_site_fract_z
_atom_site_occupancy
Cs1 Cs 0.192 0.000 0.134 1
Pt1 Pt 0.000 0.000 0.500 1
Pt2 Pt 0.194 0.000 0.496 1
Pb1 Pb 0.032 0.500 0.333 1
```

***

Crystalline Tb4PrHoSe8 at its relaxed geometry. Source: the Alexandria database, functional GGA-PBE.

Values from the calculation:
M_tot   0.000 μB per formula unit
Energy relative to the elements, uncorrected   -1.72 eV per atom
E_tot   -5.7007 eV per atom

```
data_Tb4PrHoSe8
_chemical_formula_sum 'Tb12 Pr3 Ho3 Se24'
_cell_length_a 8.5027
_cell_length_b 8.5027
_cell_length_c 20.7711
_cell_angle_alpha 90.00
_cell_angle_beta 90.00
_cell_angle_gamma 120.00
_space_group_name_H-M_alt 'R 3 m'
_space_group_IT_number 160
_space_group_name_Hall 'R 3 -2"'
loop_
_atom_site_label
_atom_site_type_symbol
_atom_site_fract_x
_atom_site_fract_y
_atom_site_fract_z
_atom_site_occupancy
Tb1 Tb 0.0000 0.0000 0.0000 1
Tb2 Tb 0.0025 0.5012 0.8758 1
Pr1 Pr 0.0000 0.0000 0.7510 1
Ho1 Ho 0.0000 0.0000 0.3749 1
Se1 Se 0.0000 0.0000 0.1321 1
Se2 Se 0.0000 0.0000 0.6148 1
Se3 Se 0.0312 0.5156 0.1285 1
Se4 Se 0.1771 0.3542 0.9575 1
```